Record 1
## Cr2IrPb (SCAN)

Data for a crystal of Cr2IrPb relaxed with PBEsol.

crystal system	cubic
Fermi-level density of states	2.65	states/eV/f.u.
E_form	0.8	eV per formula unit
theoretical density	13.51	Mg/m³
SG	No. 216

```
Cr2IrPb
1.0
4.439 0.000 0.000
2.220 3.844 0.000
2.220 1.281 3.625
Ir Cr Pb
1 2 1
Cartesian
4.439 2.563 1.812
6.659 3.844 2.718
0.000 0.000 0.000
2.220 1.281 0.906
```



Record 2
## Cr2IrPb2 (SCAN)

Data for a crystal of Cr2IrPb2 relaxed with PBEsol.

crystal system	tetragonal
Fermi-level density of states	3.45	states/eV/f.u.
E_form	6.1	eV per formula unit
theoretical density	12.33	Mg/m³
SG	No. 139

```
Cr2IrPb2
1.0
-3.763 0.392 1.387
0.392 -3.454 2.038
3.714 4.511 2.947
Cr Ir Pb
2 1 2
Cartesian
1.717 2.522 3.945
-1.374 -1.074 2.428
0.000 0.000 0.000
-0.867 1.686 3.024
1.210 -0.237 3.349
```



Record 3
## CrIr3Pb (SCAN)

Data for a crystal of CrIr3Pb relaxed with PBEsol.

crystal system	cubic
Fermi-level density of states	5.67	states/eV/f.u.
E_form	6.1	eV per formula unit
theoretical density	15.03	Mg/m³
SG	No. 221

```
CrIr3Pb
1.0
4.520 0.000 0.000
0.000 4.520 0.000
0.000 0.000 4.520
Ir Pb Cr
3 1 1
Cartesian
0.000 0.000 2.260
2.260 0.000 0.000
0.000 2.260 0.000
2.260 2.260 2.260
0.000 0.000 0.000
```



Record 4
## Cr2IrPb (SCAN)

Data for a crystal of Cr2IrPb relaxed with PBEsol.

crystal system	tetragonal
Fermi-level density of states	3.38	states/eV/f.u.
E_form	1.2	eV per formula unit
theoretical density	13.63	Mg/m³
SG	No. 139

```
Cr2IrPb
1.0
4.033 0.000 0.000
0.000 4.033 0.000
-2.016 -2.016 3.773
Cr Pb Ir
2 1 1
Cartesian
2.016 0.000 1.886
0.000 2.016 1.886
2.016 2.016 0.000
0.000 0.000 0.000
```



Record 5
## CrIrPd3 (SCAN)

Data for a crystal of CrIrPd3 relaxed with PBEsol.

crystal system	cubic
Fermi-level density of states	4.85	states/eV/f.u.
E_form	6.0	eV per formula unit
theoretical density	8.84	Mg/m³
SG	No. 221

```
CrIrPd3
1.0
-1.197 -3.757 2.614
3.363 1.111 3.136
-3.104 2.652 2.390
Ir Pd Cr
1 3 1
Cartesian
0.000 0.000 0.000
-1.552 1.326 1.195
-0.598 -1.878 1.307
1.682 0.555 1.568
-0.469 0.003 4.070
```



Record 6
## CrReIr (SCAN)

Data for a crystal of CrReIr relaxed with PBEsol.

crystal system	cubic
Fermi-level density of states	1.44	states/eV/f.u.
E_form	0.9	eV per formula unit
theoretical density	14.74	Mg/m³
SG	No. 216

```
CrReIr
1.0
4.093 0.000 0.000
2.047 3.545 0.000
2.047 1.182 3.342
Re Cr Ir
1 1 1
Cartesian
2.047 1.182 0.835
0.000 0.000 0.000
4.093 2.363 1.671
```



Record 7
## Cr4ReIr (SCAN)

Data for a crystal of Cr4ReIr relaxed with PBEsol.

crystal system	cubic
Fermi-level density of states	4.44	states/eV/f.u.
E_form	-0.6	eV per formula unit
theoretical density	13.45	Mg/m³
SG	No. 216

```
Cr4ReIr
1.0
4.678 0.000 0.000
2.339 4.051 0.000
2.339 1.350 3.819
Cr Re Ir
4 1 1
Cartesian
3.501 2.022 1.429
5.854 2.022 1.429
4.678 4.059 1.429
4.678 2.701 3.351
0.000 0.000 0.000
7.017 4.051 2.865
```



Record 8
## Cr2ReIr (SCAN)

Data for a crystal of Cr2ReIr relaxed with PBEsol.

crystal system	tetragonal
Fermi-level density of states	3.14	states/eV/f.u.
E_form	-0.1	eV per formula unit
theoretical density	15.69	Mg/m³
SG	No. 99

```
Cr2ReIr
1.0
2.791 0.000 0.000
0.000 2.791 0.000
0.000 0.000 6.554
Cr Re Ir
2 1 1
Cartesian
1.395 1.395 1.419
0.000 0.000 0.203
1.395 1.395 5.060
0.000 0.000 3.150
```



Record 9
## CrRe2Ir (SCAN)

Data for a crystal of CrRe2Ir relaxed with PBEsol.

crystal system	tetragonal
Fermi-level density of states	2.94	states/eV/f.u.
E_form	0.0	eV per formula unit
energy above the lowest structure with this stoichiometry	11.6	kJ per mole of atoms
theoretical density	18.72	Mg/m³
SG	No. 123

```
CrRe2Ir
1.0
-1.680 2.078 0.306
-0.885 -1.056 2.310
5.354 3.773 3.776
Re Cr Ir
2 1 1
Cartesian
4.079 2.875 2.877
1.275 0.899 0.899
-1.283 0.511 1.308
1.394 2.397 3.196
```



Record 10
## CrRe2Ir (SCAN)

Data for a crystal of CrRe2Ir relaxed with PBEsol.

crystal system	tetragonal
Fermi-level density of states	2.89	states/eV/f.u.
E_form	-0.5	eV per formula unit
energy above the lowest structure with this stoichiometry	0.0	kJ per mole of atoms
theoretical density	18.69	Mg/m³
SG	No. 139

```
CrRe2Ir
1.0
-0.916 0.219 3.658
-0.574 -3.733 0.080
4.423 1.212 -0.915
Ir Cr Re
1 1 2
Cartesian
0.000 0.000 0.000
-0.745 -1.757 1.869
1.381 -0.163 2.306
1.552 -2.139 0.517
```



Record 11
## CrReIr3 (SCAN)

Data for a crystal of CrReIr3 relaxed with PBEsol.

crystal system	cubic
Fermi-level density of states	5.70	states/eV/f.u.
E_form	8.3	eV per formula unit
theoretical density	13.25	Mg/m³
SG	No. 221

```
CrReIr3
1.0
4.674 0.000 0.000
0.000 4.674 0.000
0.000 0.000 4.674
Ir Re Cr
3 1 1
Cartesian
2.337 0.000 0.000
0.000 2.337 0.000
0.000 0.000 2.337
0.000 0.000 0.000
2.337 2.337 2.337
```



Record 12
## CrIrRh2 (SCAN)

Data for a crystal of CrIrRh2 relaxed with PBEsol.

crystal system	cubic
Fermi-level density of states	3.88	states/eV/f.u.
E_form	0.8	eV per formula unit
theoretical density	13.57	Mg/m³
SG	No. 225

```
CrIrRh2
1.0
4.270 0.000 0.000
2.135 3.698 0.000
2.135 1.233 3.486
Rh Cr Ir
2 1 1
Cartesian
2.135 1.233 0.872
6.405 3.698 2.615
0.000 0.000 0.000
4.270 2.465 1.743
```



Question: Look up the theoretical density of the fifth one.
Answer: 8.84 Mg/m³



Question: Which of these has the lowest theoretical density?
Answer: CrIrPd3



Question: E_form of number 9 (CrRe2Ir)?
Answer: 0.0 eV per formula unit